{
  "formula": "NbIrF2",
  "functional": "GGA-PBE",
  "state": "relaxed",
  "lattice": [[5.924, 0.000, 0.000], [0.000, 5.924, 0.000], [0.000, 0.000, 5.924]],
  "species": ["Nb", "Nb", "Nb", "Nb", "Ir", "Ir", "Ir", "Ir", "F", "F", "F", "F", "F", "F", "F", "F"],
  "frac_coords": [[0.000, 0.000, 0.000], [0.000, 0.500, 0.500], [0.500, 0.000, 0.500], [0.500, 0.500, 0.000], [0.000, 0.000, 0.500], [0.000, 0.500, 0.000], [0.500, 0.000, 0.000], [0.500, 0.500, 0.500], [0.250, 0.250, 0.250], [0.250, 0.250, 0.750], [0.250, 0.750, 0.250], [0.250, 0.750, 0.750], [0.750, 0.250, 0.250], [0.750, 0.250, 0.750], [0.750, 0.750, 0.250], [0.750, 0.750, 0.750]],
  "dft_energy_ev_per_atom": -5.76,
  "crystal_system": "cubic",
  "volume_a3_per_cell": 208,
  "e_form_raw_mev_per_atom": -94,
  "e_above_lowest_polymorph_mev_per_atom": 1001,
  "total_magnetization_mub_per_atom": 0.000
}